PBE Tb4Th5Sc, optimized geometry; density of states at the Fermi level = 15.459 states/eV per cell; SG = C2/m; calculated volume = 316.78 Å³/f.u.; total magnetic moment = 0.000 μB per formula unit; DFT formation energy = 0.134 eV/atom
1.0
3.3459 0.0000 -0.7291
0.2579 11.0462 1.1834
0.1500 1.7102 8.7303
Tb Th Sc
4 5 1
direct
0.3043 0.0897 0.6086 Tb
0.9075 0.8110 0.8150 Tb
0.6957 0.9103 0.3914 Tb
0.0925 0.1890 0.1850 Tb
0.8033 0.5933 0.6067 Th
0.8931 0.2900 0.7862 Th
0.1069 0.7100 0.2138 Th
0.5000 0.5000 0.0000 Th
0.1967 0.4067 0.3933 Th
0.5000 0.0000 0.0000 Sc



PBE CaHg3Au3, optimized geometry; density of states at the Fermi level = 3.773 states/eV per cell; SG = P2_1/m; excess energy over the best structure of this formula in the dataset = 0.00 kcal/mol of atoms; calculated volume = 163.85 Å³/f.u.; total magnetic moment = 0.000 μB per formula unit; DFT formation energy = -0.251 eV/atom
1.0
4.6673 0.0000 0.0000
0.0000 6.8315 -4.2460
0.0000 0.7151 9.8330
Ca Hg Au
2 6 6
direct
0.7500 0.3992 0.7091 Ca
0.2500 0.6008 0.2909 Ca
0.7500 0.8143 0.0617 Hg
0.7500 0.2429 0.2295 Hg
0.7500 0.9902 0.7349 Hg
0.2500 0.1857 0.9383 Hg
0.2500 0.7571 0.7705 Hg
0.2500 0.0098 0.2651 Hg
0.7500 0.8940 0.4048 Au
0.7500 0.4301 0.0433 Au
0.7500 0.6060 0.5029 Au
0.2500 0.1060 0.5952 Au
0.2500 0.5699 0.9567 Au
0.2500 0.3940 0.4971 Au



PBE RhF, optimized geometry; ΔE_f (raw) = -1.3 eV/f.u.; density of states at the Fermi level = 13.301 states/eV per cell; SG = P6_3/mmc; excess energy over the best structure of this formula in the dataset = 0.00 kcal/mol of atoms; calculated volume = 32.11 Å³/f.u.; total magnetic moment = 0.000 μB per formula unit
1.0
-6.6143 5.8838 -1.4941
1.2016 -6.9189 -5.5933
-1.7100 -1.5338 1.5300
Rh F
6 6
direct
0.5706 0.1411 0.2500 Rh
0.4294 0.5706 0.7500 Rh
0.8589 0.4294 0.2500 Rh
0.4294 0.8589 0.7500 Rh
0.5706 0.4294 0.2500 Rh
0.1411 0.5706 0.7500 Rh
0.8167 0.6333 0.2500 F
0.1833 0.8167 0.7500 F
0.3667 0.1833 0.2500 F
0.1833 0.3667 0.7500 F
0.8167 0.1833 0.2500 F
0.6333 0.8167 0.7500 F



PBE AcScBe2Si2, optimized geometry; ΔE_f (raw) = -3.0 eV/f.u.; density of states at the Fermi level = 4.311 states/eV per cell; SG = P-3m1; calculated volume = 109.99 Å³/f.u.; total magnetic moment = 0.001 μB per formula unit
1.0
-2.8830 -2.3244 -1.2650
3.6940 -1.2919 0.0083
-1.0338 -2.9068 7.6976
Ac Sc Be Si
1 1 2 2
direct
0.0000 0.0000 0.0000 Ac
0.0000 0.0000 0.5000 Sc
0.6667 0.3333 0.2907 Be
0.3333 0.6667 0.7093 Be
0.6667 0.3333 0.7109 Si
0.3333 0.6667 0.2891 Si



PBE Ni2HgPd2, optimized geometry; density of states at the Fermi level = 15.004 states/eV per cell; SG = P4/mbm; excess energy over the best structure of this formula in the dataset = 0.92 kcal/mol of atoms; calculated volume = 76.46 Å³/f.u.; total magnetic moment = 1.488 μB per formula unit; DFT formation energy = 0.170 eV/atom
1.0
-5.2999 5.1160 0.0331
-1.4257 -1.5227 7.0649
1.8798 1.9422 0.7979
Ni Hg Pd
4 2 4
direct
0.1612 0.6612 0.5000 Ni
0.6612 0.8388 0.5000 Ni
0.8388 0.3388 0.5000 Ni
0.3388 0.1612 0.5000 Ni
0.0000 0.0000 0.0000 Hg
0.5000 0.5000 0.0000 Hg
0.3658 0.8658 0.0000 Pd
0.8658 0.6342 0.0000 Pd
0.6342 0.1342 0.0000 Pd
0.1342 0.3658 0.0000 Pd



PBE ScGa3Cl, optimized geometry; ΔE_f (raw) = 1.3 eV/f.u.; density of states at the Fermi level = 3.052 states/eV per cell; SG = Pm-3m; excess energy over the best structure of this formula in the dataset = 0.00 kcal/mol of atoms; calculated volume = 123.89 Å³/f.u.; total magnetic moment = 0.000 μB per formula unit
1.0
4.9852 0.0000 0.0000
0.0000 4.9852 0.0000
0.0000 0.0000 4.9852
Sc Ga Cl
1 3 1
direct
0.5000 0.5000 0.5000 Sc
0.0000 0.5000 0.0000 Ga
0.0000 0.0000 0.5000 Ga
0.5000 0.0000 0.0000 Ga
0.0000 0.0000 0.0000 Cl



PBE AlSbTe2, optimized geometry; ΔE_f (raw) = 0.8 eV/f.u.; density of states at the Fermi level = 2.010 states/eV per cell; SG = I-4m2; excess energy over the best structure of this formula in the dataset = 6.75 kcal/mol of atoms; calculated volume = 136.19 Å³/f.u.; total magnetic moment = 0.000 μB per formula unit
1.0
8.4930 0.7570 0.0000
6.0210 6.0375 0.0000
-7.2570 -3.3972 2.9152
Sb Te Al
1 2 1
direct
0.7500 0.2500 0.5000 Sb
0.0000 0.0000 0.0000 Te
0.2500 0.7500 0.5000 Te
0.5000 0.5000 0.0000 Al



PBE ZrTl4Te, optimized geometry; ΔE_f (raw) = 2.1 eV/f.u.; density of states at the Fermi level = 6.029 states/eV per cell; SG = F-43m; calculated volume = 169.34 Å³/f.u.; total magnetic moment = 0.000 μB per formula unit
1.0
0.0000 4.3911 4.3911
4.3911 0.0000 4.3911
4.3911 4.3911 0.0000
Zr Tl Te
1 4 1
direct
0.7500 0.7500 0.7500 Zr
0.8735 0.3755 0.3755 Tl
0.3755 0.3755 0.8735 Tl
0.3755 0.8735 0.3755 Tl
0.3755 0.3755 0.3755 Tl
0.0000 0.0000 0.0000 Te



- Among the records above, which one has the highest density of states at the Fermi level?
  Tb4Th5Sc



- Look up the total magnetic moment of the first one.
  0.000 μB per formula unit